1.
A relaxed BaMgCu2Mo crystal, computed with GGA-PBEsol.

Total magnetization ... 2.0 μB/cell
Calculated density ... 4.71 Mg/m³
Space-group type ... P4/mmm
DFT formation energy ... 2.0362 eV per atom

Cell: 5.1333 5.1333 5.1439 Å, 90.00 90.00 90.00°
Element x y z (fractional)
Ba 0.0000 0.0000 0.0000
Mg 0.5000 0.5000 0.5000
Cu 0.0000 0.5000 0.0000
Cu 0.5000 0.0000 0.0000
Mo 0.0000 0.0000 0.5000

---

2.
A relaxed BaNaMg2Cu crystal, computed with GGA-PBEsol.

Total magnetization ... 0.0 μB/cell
Calculated density ... 1.96 Mg/m³
Space-group type ... P4/mmm
DFT formation energy ... 0.9045 eV per atom

Cell: 6.4628 6.4628 5.5349 Å, 90.00 90.00 90.00°
Element x y z (fractional)
Ba 0.0000 0.0000 0.0000
Na 0.5000 0.5000 0.5000
Mg 0.0000 0.5000 0.0000
Mg 0.5000 0.0000 0.0000
Cu 0.0000 0.0000 0.5000

---

3.
A relaxed BaMn2Cu crystal, computed with GGA-PBEsol.

Total magnetization ... 6.6 μB/cell
Calculated density ... 6.75 Mg/m³
Space-group type ... P4/mmm
DFT formation energy ... 1.0297 eV per atom

Cell: 4.1476 4.1476 4.4466 Å, 90.00 90.00 90.00°
Element x y z (fractional)
Ba 0.0000 0.0000 0.0000
Mn 0.0000 0.5000 0.5000
Mn 0.5000 0.0000 0.5000
Cu 0.5000 0.5000 0.0000

---

4.
A relaxed BaMnCu2 crystal, computed with GGA-PBEsol.

Total magnetization ... 4.2 μB/cell
Calculated density ... 6.76 Mg/m³
Space-group type ... Cmmm
DFT formation energy ... 0.6845 eV per atom

Cell: 4.9702 4.9702 3.1745 Å, 90.00 90.00 90.07°
Element x y z (fractional)
Ba 0.0000 0.0000 0.0000
Mn 0.5000 0.5000 0.0000
Cu 0.0000 0.5000 0.5000
Cu 0.5000 0.0000 0.5000

---

Look up the DFT formation energy of the first one. 2.0362 eV per atom

---

Among the records above, which one has the lowest DFT formation energy? BaMnCu2

---

The lowest calculated density belongs to which entry? BaNaMg2Cu

---

What is the calculated density in the first record? 4.71 Mg/m³